First-principles (PBEsol) data for a relaxed structure of TiOsRh2, as listed in Alexandria.

Properties
As for the total magnetization: 0.0 μB/f.u. The value obtained for the formation energy is 0.0258 eV/atom. The calculation puts the theoretical density at 12.9 g cm⁻³. The space-group type is Fm-3m. Its density of states at the Fermi level is 9.166 states/eV/cell.

Cell lengths 4.3224, 4.3224, 4.3224 Å; angles 60.00, 60.00, 60.00 degrees
Fractional coordinates of all 4 atoms:
Ti: 0.0000 0.0000 0.0000
Os: 0.5000 0.5000 0.5000
Rh: 0.2500 0.2500 0.2500
Rh: 0.7500 0.7500 0.7500